4
Lattice="-1.4035 1.9291 -2.0060 0.7784 -2.8824 -0.8949 -8.2622 -3.1004 2.7992" Properties=species:S:1:pos:R:3 comment="TcSe PBE relaxed" total_energy_ev_per_atom=-7.13 dos_at_fermi_per_ev_fu=1.1 raw_formation_energy_ev_per_atom=-0.2061 pbc="T T T"
Tc -4.2634 -1.5998 1.4444
Tc -6.7405 -1.9504 0.4189
Se -7.5988 -2.8514 2.5744
Se -3.4051 -0.6988 -0.7111


6
Lattice="5.2778 0.0061 0.0000 -3.3560 4.0733 0.0000 0.0000 0.0000 4.5087" Properties=species:S:1:pos:R:3 comment="TaMo5 PBE relaxed" total_energy_ev_per_atom=-11.11 delta_e_f_ev_per_atom=-0.10 dos_at_fermi_per_ev_fu=2.3 pbc="T T T"
Mo 5.2657 0.0118 0.0000
Mo 3.8573 0.6752 2.2543
Mo 2.3998 1.3618 0.0000
Mo 0.9424 2.0484 2.2543
Mo -0.4661 2.7119 0.0000
Ta -1.9171 3.3955 2.2543


5
Lattice="-4.0096 -1.6000 -1.0531 -0.9423 -0.8434 4.8691 -1.7252 4.0781 0.3725" Properties=species:S:1:pos:R:3 comment="YBeVRu2 PBE relaxed" total_energy_ev_per_atom=-6.53 delta_e_f_ev_per_atom=1.05 dos_at_fermi_per_ev_fu=4.7 pbc="T T T"
Ru -2.0048 -0.8000 -0.5265
Ru -0.8626 2.0390 0.1863
Y -0.4711 -0.4217 2.4346
Be -3.3385 0.8173 2.0943
V 0.0000 0.0000 0.0000


8
Lattice="4.1575 0.0000 0.0000 0.0000 5.2012 -1.1649 0.0000 0.3533 5.3183" Properties=species:S:1:pos:R:3 comment="Tc3Ge PBE relaxed" total_energy_ev_per_atom=-8.97 delta_e_f_ev_per_atom=-0.05 dos_at_fermi_per_ev_fu=4.1 pbc="T T T"
Ge 3.1181 3.6504 0.9091
Ge 1.0394 1.9041 3.2443
Tc 1.0394 4.4642 2.2590
Tc 3.1181 0.8312 4.6792
Tc 1.0394 2.1254 0.5101
Tc 3.1181 3.4291 3.6433
Tc 3.1181 1.0903 1.8945
Tc 1.0394 4.7233 -0.5257


6
Lattice="-0.9624 2.5032 2.8054 -2.7840 -2.4207 1.2049 8.2385 -5.5868 7.8111" Properties=species:S:1:pos:R:3 comment="CaPm3Mg2 PBE relaxed" total_energy_ev_per_atom=-3.28 delta_e_f_ev_per_atom=-0.04 dos_at_fermi_per_ev_fu=5.6 pbc="T T T"
Pm 2.4402 -1.6548 2.3136
Pm 0.0000 0.0000 0.0000
Pm 5.7982 -3.9320 5.4975
Mg -0.6412 -0.7942 3.1732
Mg 5.1333 -4.7101 8.6482
Ca 2.2461 -2.7521 5.9107


24
Lattice="5.2818 0.0000 0.0000 -2.6409 4.5742 0.0000 0.0000 0.0000 17.2094" Properties=species:S:1:pos:R:3 comment="HfRe2 PBE relaxed" total_energy_ev_per_atom=-12.00 delta_e_f_ev_per_atom=-0.38 dos_at_fermi_per_ev_fu=2.6 pbc="T T T"
Hf 0.0000 0.0000 7.0089
Hf 0.0000 3.0494 5.9338
Hf 0.0000 0.0000 10.2005
Hf 2.6409 1.5247 14.5385
Hf 0.0000 0.0000 15.6136
Hf 2.6409 1.5247 11.2756
Hf 0.0000 3.0494 2.6709
Hf 0.0000 0.0000 1.5958
Re 0.0000 3.0494 10.7806
Re 4.0082 0.7353 4.3024
Re 1.2736 0.7353 4.3024
Re 0.0000 3.0494 15.0336
Re 1.3204 2.2871 0.0000
Re 2.6409 0.0000 8.6047
Re 2.6409 1.5247 6.4289
Re 0.0000 1.4706 12.9071
Re 2.6409 1.5247 2.1758
Re 1.3204 2.2871 8.6047
Re -1.3204 2.2871 8.6047
Re -1.3204 2.2871 0.0000
Re -1.3673 3.8389 12.9071
Re 2.6409 3.1035 4.3024
Re 1.3673 3.8389 12.9071
Re 2.6409 0.0000 0.0000


Q: What is the formula in the second record?
A: TaMo5